The following is a DFT calculation (GGA-PBE) of PmGePt2 after structural relaxation.

## Properties
M_tot	0.0	μB/f.u.
formation enthalpy at 0 K	-651	meV per atom
crystal system	tetragonal
volume	19.8	Å³/atom

Lattice parameters (Å, degrees): 3.476 3.476 6.540 90.00 90.00 90.00
Sites, in units of the cell vectors:
Ge (0.500, 0.500, 0.000)
Pt (0.000, 0.000, 0.782)
Pt (0.000, 0.000, 0.218)
Pm (0.500, 0.500, 0.500)

***

The following is a DFT calculation (GGA-PBE) of Pm3Ge6Pt20 after structural relaxation.

## Properties
M_tot	0.0	μB/f.u.
formation enthalpy at 0 K	-566	meV per atom
crystal system	cubic
volume	17.4	Å³/atom

Lattice parameters (Å, degrees): 8.938 8.938 8.938 60.00 60.00 60.00
Sites, in units of the cell vectors:
Pm (0.750, 0.750, 0.750)
Pm (0.250, 0.250, 0.250)
Pm (0.000, 0.000, 0.000)
Ge (0.267, 0.733, 0.733)
Ge (0.733, 0.267, 0.267)
Ge (0.267, 0.267, 0.733)
Ge (0.733, 0.267, 0.733)
Ge (0.267, 0.733, 0.267)
Ge (0.733, 0.733, 0.267)
Pt (0.383, 0.383, 0.851)
Pt (0.149, 0.617, 0.617)
Pt (0.651, 0.000, 0.000)
Pt (0.651, 0.349, 0.000)
Pt (0.000, 0.000, 0.651)
Pt (0.383, 0.851, 0.383)
Pt (0.000, 0.349, 0.651)
Pt (0.651, 0.000, 0.349)
Pt (0.000, 0.651, 0.000)
Pt (0.000, 0.000, 0.349)
Pt (0.349, 0.000, 0.651)
Pt (0.000, 0.349, 0.000)
Pt (0.349, 0.651, 0.000)
Pt (0.349, 0.000, 0.000)
Pt (0.383, 0.383, 0.383)
Pt (0.617, 0.617, 0.149)
Pt (0.617, 0.617, 0.617)
Pt (0.617, 0.149, 0.617)
Pt (0.851, 0.383, 0.383)
Pt (0.000, 0.651, 0.349)

***

The following is a DFT calculation (GGA-PBE) of PmGePt2 after structural relaxation.

## Properties
M_tot	0.0	μB/f.u.
formation enthalpy at 0 K	-1001	meV per atom
crystal system	orthorhombic
volume	19.3	Å³/atom

Lattice parameters (Å, degrees): 5.761 7.095 7.566 90.00 90.00 90.00
Sites, in units of the cell vectors:
Pm (0.356, 0.250, 0.027)
Pm (0.856, 0.750, 0.473)
Pm (0.644, 0.750, 0.973)
Pm (0.144, 0.250, 0.527)
Ge (0.642, 0.250, 0.379)
Ge (0.142, 0.750, 0.121)
Ge (0.358, 0.750, 0.621)
Ge (0.858, 0.250, 0.879)
Pt (0.916, 0.052, 0.183)
Pt (0.416, 0.948, 0.317)
Pt (0.084, 0.552, 0.817)
Pt (0.584, 0.448, 0.683)
Pt (0.084, 0.948, 0.817)
Pt (0.584, 0.052, 0.683)
Pt (0.916, 0.448, 0.183)
Pt (0.416, 0.552, 0.317)

***

The following is a DFT calculation (GGA-PBE) of Pm6GePt2 after structural relaxation.

## Properties
M_tot	0.0	μB/f.u.
formation enthalpy at 0 K	-645	meV per atom
crystal system	orthorhombic
volume	29.4	Å³/atom

Lattice parameters (Å, degrees): 4.752 7.150 8.898 113.69 105.48 90.00
Sites, in units of the cell vectors:
Pm (0.166, 0.416, 0.333)
Pm (0.834, 0.083, 0.667)
Pm (0.834, 0.584, 0.667)
Pm (0.500, 0.262, 0.000)
Pm (0.166, 0.917, 0.333)
Pm (0.500, 0.738, 0.000)
Ge (0.000, 0.000, 0.000)
Pt (0.669, 0.669, 0.338)
Pt (0.331, 0.331, 0.662)

***

The following is a DFT calculation (GGA-PBE) of Pm2GePt after structural relaxation.

## Properties
M_tot	0.0	μB/f.u.
formation enthalpy at 0 K	-112	meV per atom
crystal system	trigonal
volume	34.4	Å³/atom

Lattice parameters (Å, degrees): 4.316 4.316 8.897 75.96 75.96 60.00
Sites, in units of the cell vectors:
Ge (0.500, 0.500, 0.500)
Pt (0.000, 0.000, 0.000)
Pm (0.104, 0.104, 0.689)
Pm (0.896, 0.896, 0.311)

***

The following is a DFT calculation (GGA-PBE) of Pm8Ge2Pt after structural relaxation.

## Properties
M_tot	0.0	μB/f.u.
formation enthalpy at 0 K	-502	meV per atom
crystal system	monoclinic
volume	28.7	Å³/atom

Lattice parameters (Å, degrees): 4.873 6.893 9.973 102.92 104.14 90.00
Sites, in units of the cell vectors:
Pm (0.406, 0.528, 0.811)
Pm (0.656, 0.997, 0.312)
Pm (0.783, 0.669, 0.567)
Pm (0.976, 0.217, 0.952)
Pm (0.217, 0.331, 0.433)
Pm (0.344, 0.003, 0.688)
Pm (0.594, 0.472, 0.189)
Pm (0.024, 0.783, 0.048)
Ge (0.817, 0.246, 0.634)
Ge (0.183, 0.754, 0.366)
Pt (0.500, 0.000, 0.000)

***

Question: What is the formula in the first record?
Answer: PmGePt2